(1)
# NdTmMg6

An optimized crystal structure of NdTmMg6 (GGA-PBE, the Open Quantum Materials Database).

Cell and atoms, written as POSCAR:
```
NdTmMg6
1.0
5.175 0.000 0.000
0.000 5.175 0.000
0.000 0.000 7.417
Nd Tm Mg
1 1 6
direct
0.000 0.000 0.000
0.500 0.500 0.500
0.000 0.000 0.500
0.000 0.500 0.258
0.000 0.500 0.742
0.500 0.000 0.258
0.500 0.000 0.742
0.500 0.500 0.000
```

Symmetry: No. 123
E_tot (eV/cell): -19.16



(2)
# HfGe2W

An optimized crystal structure of HfGe2W (GGA-PBE, the Open Quantum Materials Database).

Cell and atoms, written as POSCAR:
```
HfGe2W
1.0
0.000 3.286 3.286
3.286 0.000 3.286
3.286 3.286 0.000
Hf Ge W
1 2 1
direct
0.000 0.000 0.000
0.250 0.250 0.250
0.500 0.500 0.500
0.750 0.750 0.750
```

Symmetry: No. 216
E_tot (eV/cell): -30.76



(3)
# LiTmSO

An optimized crystal structure of LiTmSO (GGA-PBE, the Open Quantum Materials Database).

Cell and atoms, written as POSCAR:
```
LiTmSO
1.0
3.933 0.000 0.000
0.000 6.437 0.000
0.000 0.000 6.046
Li Tm S O
2 2 2 2
direct
0.000 0.212 0.000
0.000 0.788 0.500
0.500 0.348 0.432
0.500 0.652 0.932
0.000 0.156 0.606
0.000 0.844 0.106
0.500 0.362 0.085
0.500 0.638 0.585
```

Relative energy among the computed polymorphs (meV/atom): 255
Symmetry: No. 26



(4)
# Ni12Te

An optimized crystal structure of Ni12Te (GGA-PBE, the Open Quantum Materials Database).

Cell and atoms, written as POSCAR:
```
Ni12Te
1.0
4.286 0.000 0.000
1.426 5.322 0.000
0.028 0.142 26.605
Ni Te
24 2
direct
0.000 0.250 0.061
0.000 0.750 0.939
0.002 0.749 0.184
0.143 0.324 0.903
0.143 0.821 0.026
0.144 0.325 0.150
0.286 0.393 0.991
0.286 0.894 0.869
0.288 0.890 0.114
0.427 0.965 0.202
0.428 0.463 0.079
0.428 0.464 0.831
0.429 0.965 0.956
0.571 0.035 0.044
0.572 0.536 0.169
0.572 0.537 0.921
0.573 0.035 0.798
0.712 0.110 0.886
0.714 0.106 0.131
0.714 0.607 0.009
0.856 0.675 0.850
0.857 0.179 0.974
0.857 0.676 0.097
0.998 0.251 0.816
0.147 0.817 0.770
0.853 0.183 0.230
```

Relative energy among the computed polymorphs (meV/atom): 0
Symmetry: No. 2



(5)
# BaErMo

An optimized crystal structure of BaErMo (GGA-PBE, the Open Quantum Materials Database).

Cell and atoms, written as POSCAR:
```
BaErMo
1.0
0.000 3.643 3.643
3.643 0.000 3.643
3.643 3.643 0.000
Ba Er Mo
1 1 1
direct
0.000 0.000 0.000
0.750 0.750 0.750
0.250 0.250 0.250
```

Relative energy among the computed polymorphs (meV/atom): 577
Symmetry: No. 216



(6)
# DyYBr2NCl

An optimized crystal structure of DyYBr2NCl (GGA-PBE, the Open Quantum Materials Database).

Cell and atoms, written as POSCAR:
```
DyYBr2NCl
1.0
9.220 -1.926 0.000
9.220 1.926 0.000
-6.852 0.000 9.299
Dy Y Br N Cl
2 2 4 2 2
direct
0.074 0.074 0.460
0.926 0.926 0.540
0.361 0.361 0.208
0.639 0.639 0.792
0.283 0.283 0.376
0.466 0.466 0.757
0.534 0.534 0.243
0.717 0.717 0.624
0.076 0.076 0.657
0.924 0.924 0.343
0.175 0.175 0.006
0.825 0.825 0.994
```

Relative energy among the computed polymorphs (meV/atom): 8
Symmetry: No. 12



(7)
# LaDyGa2Br2

An optimized crystal structure of LaDyGa2Br2 (GGA-PBE, the Open Quantum Materials Database).

Cell and atoms, written as POSCAR:
```
LaDyGa2Br2
1.0
4.219 0.000 0.000
-2.110 3.654 0.000
0.000 0.000 11.469
La Dy Ga Br
1 1 2 2
direct
0.000 0.000 0.000
0.000 0.000 0.634
0.333 0.667 0.841
0.667 0.333 0.784
0.333 0.667 0.484
0.667 0.333 0.163
```

Symmetry: No. 156
E_tot (eV/cell): -26.50



(8)
# GdNiPt

An optimized crystal structure of GdNiPt (GGA-PBE, the Open Quantum Materials Database).

Cell and atoms, written as POSCAR:
```
GdNiPt
1.0
0.000 3.091 3.091
3.091 0.000 3.091
3.091 3.091 0.000
Gd Ni Pt
1 1 1
direct
0.000 0.000 0.000
0.250 0.250 0.250
0.500 0.500 0.500
```

Relative energy among the computed polymorphs (meV/atom): 0
Symmetry: No. 216
Energy of formation from the pure elements (meV per atom): -577.4



The following spin magnetization values (in μB per formula unit) correspond, in order, to the records above: 0.018, 1.069, 0.002, 6.354, 3.069, 0.001, 0.001, 0.002.